# 1
Material: Ce2SbPd2
Method: DFT, PBE
State: relaxed

Cell lengths 4.9213, 4.9213, 15.6158 Å; angles 90.00, 90.00, 120.00 degrees
With the nearest neighbours (Å) after each atom.
Space group R-3m (No. 166, hexagonal axes)
Symmetry-distinct sites (fractional):
1 Ce 0.0000 0.0000 0.2136 x6  4 Pd 2.92-3.07, 3 Ce 3.20
2 Sb 0.0000 0.0000 0.0000 x3  6 Pd 3.08, 8 Ce 3.34-3.40
3 Pd 0.0000 0.0000 0.4100 x6  1 Pd 2.81, 4 Ce 2.92-3.07, 3 Sb 3.08

ΔE_f (raw)   -73.9 kJ/mol of atoms
Energy above the lowest structure with this stoichiometry   0.56 eV per formula unit
Calculated volume   21.84 Å³/atom

# 2
Material: Ce2Sb3Pd4
Method: DFT, PBE
State: relaxed

Cell lengths 6.4149, 15.9717, 7.6278 Å; angles 90.00, 90.00, 90.00 degrees
With the nearest neighbours (Å) after each atom.
Space group Cmce (No. 64)
Symmetry-distinct sites (fractional):
1 Ce 0.0000 0.1055 0.0893 x8  7 Pd 3.11-3.43, 2 Sb 3.21
2 Sb 0.0000 0.0000 0.5000 x4  6 Pd 2.70-2.76
3 Sb 0.2500 0.2379 0.7500 x8  5 Pd 2.77-2.80
4 Pd 0.0000 0.1726 0.4860 x8  5 Sb 2.76-2.80
5 Pd 0.2500 0.0644 0.7500 x8  3 Sb 2.70-2.77

ΔE_f (raw)   -68.9 kJ/mol of atoms
Calculated volume   21.71 Å³/atom